Record 1
Entry from Alexandria via LeMat-Bulk: a relaxed structure of Pr8Se6Cl (PBE-GGA).

Cell: 11.1089 11.1089 4.3583 Å, 90.00 90.00 120.00°
Last column: nearest neighbours and their distance in Å.
Fractional positions:
Pr1 0.0384 0.3489 0.2421  4 Se 2.90-3.00
Pr2 0.3104 0.9616 0.2421  4 Se 2.90-3.00
Pr3 0.3333 0.6667 0.7543  6 Se 3.04-3.05
Pr4 0.3489 0.3104 0.7579  4 Se 2.90-3.00
Pr5 0.6511 0.6896 0.2421  4 Se 2.90-3.00
Pr6 0.6667 0.3333 0.2457  6 Se 3.04-3.05
Pr7 0.6896 0.0384 0.7579  4 Se 2.90-3.00
Pr8 0.9616 0.6511 0.7579  4 Se 2.90-3.00
Se1 0.1363 0.6546 0.2551  6 Pr 2.90-3.05
Se2 0.3454 0.4817 0.2551  6 Pr 2.90-3.05
Se3 0.4817 0.1363 0.7449  6 Pr 2.90-3.05
Se4 0.5183 0.8637 0.2551  6 Pr 2.90-3.05
Se5 0.6546 0.5183 0.7449  6 Pr 2.90-3.05
Se6 0.8637 0.3454 0.7449  6 Pr 2.90-3.05
Cl1 0.0000 0.0000 0.0000  6 Pr 3.83

Raw formation energy = -1.42 eV/atom
VASP energy = -0.4029 Ry/atom

---

Record 2
Entry from Alexandria via LeMat-Bulk: a relaxed structure of YRe2Sn2 (PBE-GGA).

Cell: 6.7913 6.7913 6.7913 Å, 144.06 144.06 51.74°
Last column: nearest neighbours and their distance in Å.
Fractional positions:
Y1 0.0000 0.0000 0.0000  8 Sn 3.27
Re1 0.2500 0.7500 0.5000  4 Sn 2.68, 4 Re 2.96
Re2 0.7500 0.2500 0.5000  4 Sn 2.68, 4 Re 2.96
Sn1 0.3862 0.3862 0.0000  4 Re 2.68, 1 Sn 2.78
Sn2 0.6138 0.6138 0.0000  4 Re 2.68, 1 Sn 2.78

Formation energy from the elements = 0.290 eV/atom
Polymorph energy (0 for the lowest one) = 0.4 kJ per mole of atoms
VASP energy = -0.5573 Ry/atom